[1]
Compound: Cr2PtRh6
Source: the Alexandria database
Functional: PBE-GGA
Structure: optimized geometry

- Space-group type: No. 12
- Crystal system: monoclinic

The structure in CIF format:
```
data_Cr2PtRh6
_cell_length_a 3.8326
_cell_length_b 4.6800
_cell_length_c 8.1093
_cell_angle_alpha 106.68
_cell_angle_beta 90.00
_cell_angle_gamma 114.17
_space_group_name_H-M_alt 'P 1'
_space_group_IT_number 1
_space_group_name_Hall 'P 1'
loop_
_atom_site_label
_atom_site_type_symbol
_atom_site_fract_x
_atom_site_fract_y
_atom_site_fract_z
Pt1 Pt 0.0000 0.0000 0.5000
Rh1 Rh 0.6663 0.3326 0.3875
Rh2 Rh 0.6691 0.3381 0.0549
Rh3 Rh 0.3337 0.6674 0.6125
Rh4 Rh 0.3309 0.6619 0.9451
Rh5 Rh 0.0008 0.0016 0.1671
Rh6 Rh 0.9992 0.9984 0.8329
Cr1 Cr 0.6691 0.3382 0.7238
Cr2 Cr 0.3309 0.6618 0.2762
```

***

[2]
Compound: Cr6PtRh5
Source: the Alexandria database
Functional: PBE-GGA
Structure: optimized geometry

- Space-group type: No. 71
- Crystal system: orthorhombic

The structure in CIF format:
```
data_Cr6PtRh5
_cell_length_a 3.7944
_cell_length_b 7.3640
_cell_length_c 7.1179
_cell_angle_alpha 121.15
_cell_angle_beta 105.46
_cell_angle_gamma 90.00
_space_group_name_H-M_alt 'P 1'
_space_group_IT_number 1
_space_group_name_Hall 'P 1'
loop_
_atom_site_label
_atom_site_type_symbol
_atom_site_fract_x
_atom_site_fract_y
_atom_site_fract_z
Cr1 Cr 0.8345 0.5823 0.6691
Cr2 Cr 0.1654 0.9132 0.3309
Cr3 Cr 0.1655 0.4177 0.3309
Cr4 Cr 0.5000 0.7469 0.0000
Cr5 Cr 0.8346 0.0868 0.6691
Cr6 Cr 0.5000 0.2531 0.0000
Pt1 Pt 0.0000 0.0000 0.0000
Rh1 Rh 0.3325 0.8325 0.6650
Rh2 Rh 0.6675 0.6675 0.3349
Rh3 Rh 0.0000 0.5000 0.0000
Rh4 Rh 0.6675 0.1675 0.3350
Rh5 Rh 0.3325 0.3325 0.6651
```

***

[3]
Compound: Cr5PtRh6
Source: the Alexandria database
Functional: PBE-GGA
Structure: optimized geometry

- Space-group type: No. 71
- Crystal system: orthorhombic

The structure in CIF format:
```
data_Cr5PtRh6
_cell_length_a 3.7941
_cell_length_b 7.0941
_cell_length_c 7.0941
_cell_angle_alpha 107.43
_cell_angle_beta 105.51
_cell_angle_gamma 105.51
_space_group_name_H-M_alt 'P 1'
_space_group_IT_number 1
_space_group_name_Hall 'P 1'
loop_
_atom_site_label
_atom_site_type_symbol
_atom_site_fract_x
_atom_site_fract_y
_atom_site_fract_z
Cr1 Cr 0.0000 0.3353 0.6647
Cr2 Cr 0.0000 0.6647 0.3353
Cr3 Cr 0.5000 0.1704 0.8296
Cr4 Cr 0.5000 0.8296 0.1704
Cr5 Cr 0.5000 0.5000 0.5000
Rh1 Rh 0.7449 0.5769 0.9129
Rh2 Rh 0.7625 0.2625 0.2625
Rh3 Rh 0.2551 0.4231 0.0871
Rh4 Rh 0.2551 0.0871 0.4231
Rh5 Rh 0.2375 0.7375 0.7375
Rh6 Rh 0.7449 0.9129 0.5769
Pt1 Pt 0.0000 0.0000 0.0000
```

***

[4]
Compound: CrPt2Rh
Source: the Alexandria database
Functional: PBE-GGA
Structure: optimized geometry

- Space-group type: No. 225
- Crystal system: cubic

The structure in CIF format:
```
data_CrPt2Rh
_cell_length_a 4.3590
_cell_length_b 4.3590
_cell_length_c 4.3590
_cell_angle_alpha 60.00
_cell_angle_beta 60.00
_cell_angle_gamma 60.00
_space_group_name_H-M_alt 'P 1'
_space_group_IT_number 1
_space_group_name_Hall 'P 1'
loop_
_atom_site_label
_atom_site_type_symbol
_atom_site_fract_x
_atom_site_fract_y
_atom_site_fract_z
Pt1 Pt 0.2500 0.2500 0.2500
Pt2 Pt 0.7500 0.7500 0.7500
Cr1 Cr 0.0000 0.0000 0.0000
Rh1 Rh 0.5000 0.5000 0.5000
```

***

Number 1: total magnetic moment 2.89 Bohr magnetons per cell, calculated formation energy -9.33 kJ/mol of atoms, uncorrected energy -70.266 eV per formula unit. Number 2: total magnetic moment 2.41 Bohr magnetons per cell, calculated formation energy -10.67 kJ/mol of atoms, uncorrected energy -101.865 eV per formula unit. Number 3: total magnetic moment 1.32 Bohr magnetons per cell, calculated formation energy -10.39 kJ/mol of atoms, uncorrected energy -99.559 eV per formula unit. Number 4: total magnetic moment 0.00 Bohr magnetons per cell, calculated formation energy 15.86 kJ/mol of atoms, uncorrected energy -28.399 eV per formula unit.